Rb2MgC | GGA-PBE | optimized geometry Values from VASP.

```
&SYSTEM
  ibrav = 0, nat = 8, ntyp = 3
/
ATOMIC_SPECIES
Mg 24.30 Mg.upf
C 12.01 C.upf
Rb 85.47 Rb.upf
ATOMIC_POSITIONS crystal
Mg 0.0000 0.0000 0.0000
Mg 0.7500 0.2500 0.5000
C 0.5000 0.5000 0.0000
C 0.2500 0.7500 0.5000
Rb 0.4272 0.1250 0.2500
Rb 0.3228 0.6250 0.2500
Rb 0.3750 0.5728 0.7500
Rb 0.8750 0.6772 0.7500
CELL_PARAMETERS angstrom
-7.4652 1.1407 -10.1696
-1.2886 -12.5926 -0.4666
-6.0611 -5.6000 -4.0677
```

Properties
Energy above the most stable polymorph in this dataset = 0.00 eV/f.u.
Energy of formation from the pure elements = 18.326 kcal/mol of atoms

PmThTeAs | GGA-PBE | optimized geometry Values from VASP.

```
&SYSTEM
  ibrav = 0, nat = 4, ntyp = 4
/
ATOMIC_SPECIES
Pm 145.00 Pm.upf
Th 232.04 Th.upf
Te 127.60 Te.upf
As 74.92 As.upf
ATOMIC_POSITIONS crystal
Pm 0.4933 0.1446 0.6534
Th 0.1123 0.9541 0.0814
Te 0.9684 0.3822 0.3658
As 0.3038 0.5499 0.8691
CELL_PARAMETERS angstrom
4.2492 -0.0009 -0.0002
-2.1245 3.6812 0.0001
-2.1237 -1.2261 7.5557
```

Properties
E_form (uncorrected) = -1.387 eV/atom

TbScBeRh | GGA-PBE | optimized geometry Values from VASP.

```
&SYSTEM
  ibrav = 0, nat = 4, ntyp = 4
/
ATOMIC_SPECIES
Sc 44.96 Sc.upf
Rh 102.91 Rh.upf
Tb 158.93 Tb.upf
Be 9.01 Be.upf
ATOMIC_POSITIONS crystal
Sc 0.7500 0.7500 0.7500
Rh 0.0000 0.0000 0.0000
Tb 0.2500 0.2500 0.2500
Be 0.5000 0.5000 0.5000
CELL_PARAMETERS angstrom
4.7176 0.0000 0.0000
2.3588 4.0856 0.0000
2.3588 1.3619 3.8519
```

Properties
Energy of formation from the pure elements = -9.054 kcal/mol of atoms

LiSBrN2 | GGA-PBE | optimized geometry Values from VASP.

```
&SYSTEM
  ibrav = 0, nat = 5, ntyp = 4
/
ATOMIC_SPECIES
S 32.06 S.upf
Li 6.94 Li.upf
Br 79.90 Br.upf
N 14.01 N.upf
ATOMIC_POSITIONS crystal
S 0.0000 0.0000 0.5000
Li 0.5000 0.5000 0.5000
Br 0.0000 0.0000 0.0000
N 0.0000 0.5000 0.0000
N 0.5000 0.0000 0.0000
CELL_PARAMETERS angstrom
4.1148 0.0000 0.0000
0.0000 4.1148 0.0000
0.0000 0.0000 5.1273
```

Properties
Energy above the most stable polymorph in this dataset = 0.00 eV/f.u.
E_form (uncorrected) = 1.764 eV/atom

Ba2LiPmSe4 | GGA-PBE | optimized geometry Values from VASP.

```
&SYSTEM
  ibrav = 0, nat = 8, ntyp = 4
/
ATOMIC_SPECIES
Ba 137.33 Ba.upf
Li 6.94 Li.upf
Pm 145.00 Pm.upf
Se 78.96 Se.upf
ATOMIC_POSITIONS crystal
Ba 0.0000 0.0000 0.0000
Ba 0.5000 0.0000 0.5000
Li 0.5000 0.5000 0.0000
Pm 0.0000 0.5000 0.5000
Se 0.0000 0.7201 0.7528
Se 0.0000 0.2799 0.2471
Se 0.5000 0.7180 0.2624
Se 0.5000 0.2820 0.7376
CELL_PARAMETERS angstrom
4.4611 0.0000 0.0000
0.0000 7.6838 -0.1887
0.0000 2.6688 7.1734
```

Properties
E_form (uncorrected) = -1.784 eV/atom

SrFe2Ni | GGA-PBE | optimized geometry Values from VASP.

```
&SYSTEM
  ibrav = 0, nat = 4, ntyp = 3
/
ATOMIC_SPECIES
Sr 87.62 Sr.upf
Fe 55.84 Fe.upf
Ni 58.69 Ni.upf
ATOMIC_POSITIONS crystal
Sr 0.5000 0.5000 0.5000
Fe 0.2500 0.2500 0.2500
Fe 0.7500 0.7500 0.7500
Ni 0.0000 0.0000 0.0000
CELL_PARAMETERS angstrom
-2.7598 -3.6192 -0.2167
-2.6608 -1.0517 3.5462
-4.5097 0.5874 -0.2822
```

Properties
Energy of formation from the pure elements = 19.123 kcal/mol of atoms

NaEu2Zn | GGA-PBE | optimized geometry Values from VASP.

```
&SYSTEM
  ibrav = 0, nat = 4, ntyp = 3
/
ATOMIC_SPECIES
Eu 151.96 Eu.upf
Na 22.99 Na.upf
Zn 65.41 Zn.upf
ATOMIC_POSITIONS crystal
Eu 0.0000 0.0000 0.5000
Eu 0.0000 0.5000 0.0000
Na 0.5000 0.0000 0.0000
Zn 0.5000 0.5000 0.5000
CELL_PARAMETERS angstrom
4.1008 0.0000 0.0000
0.0000 5.5877 0.0000
0.0000 0.0000 5.5877
```

Properties
Energy above the most stable polymorph in this dataset = 0.41 eV/f.u.
Energy of formation from the pure elements = -0.225 kcal/mol of atoms

TmGa2Ge | GGA-PBE | optimized geometry Values from VASP.

```
&SYSTEM
  ibrav = 0, nat = 4, ntyp = 3
/
ATOMIC_SPECIES
Ge 72.64 Ge.upf
Tm 168.93 Tm.upf
Ga 69.72 Ga.upf
ATOMIC_POSITIONS crystal
Ge 0.5000 0.0000 0.0000
Tm 0.5000 0.5000 0.5000
Ga 0.0000 0.0000 0.5000
Ga 0.0000 0.5000 0.0000
CELL_PARAMETERS angstrom
-1.2860 -2.9158 3.1477
3.6323 -1.9748 -0.3452
1.6125 2.4534 2.9314
```

Properties
Energy above the most stable polymorph in this dataset = 0.00 eV/f.u.
Energy of formation from the pure elements = -10.987 kcal/mol of atoms